[1]
BaB3S: optimized geometry, PBE-GGA.

The uncorrected formation energy comes out at 1.510 eV/atom. The energy above the most stable polymorph in this dataset comes out at 0 meV/atom. The total magnetization comes out at 0.0 μB per formula unit.

a = 4.2420 Å, b = 4.2420 Å, c = 4.2420 Å
α = 90.00°, β = 90.00°, γ = 90.00°
Positions (direct):
1 S 0.0000 0.0000 0.0000
2 B 0.0000 0.5000 0.0000
3 B 0.0000 0.0000 0.5000
4 B 0.5000 0.0000 0.0000
5 Ba 0.5000 0.5000 0.5000

[2]
CaDy2Hg6: optimized geometry, PBE-GGA.

The total magnetization comes out at 0.0 μB per formula unit. The value obtained for the formation energy is -0.3997 eV per atom.

a = 3.4577 Å, b = 8.6042 Å, c = 8.6042 Å
α = 120.00°, β = 90.00°, γ = 90.00°
Positions (direct):
1 Ca 0.0000 0.0000 0.0000
2 Dy 0.0000 0.3333 0.6667
3 Dy 0.0000 0.6667 0.3333
4 Hg 0.5000 0.3336 0.3336
5 Hg 0.5000 0.6664 0.6664
6 Hg 0.5000 0.0000 0.6664
7 Hg 0.5000 0.6664 0.0000
8 Hg 0.5000 0.3336 0.0000
9 Hg 0.5000 0.0000 0.3336

[3]
RuRhAu2: optimized geometry, PBE-GGA.

The energy above the most stable polymorph in this dataset comes out at 275 meV/atom. The total magnetization comes out at 1.3 μB per formula unit. The value obtained for the formation energy is 0.4237 eV per atom.

a = 2.7773 Å, b = 2.7773 Å, c = 9.6654 Å
α = 90.00°, β = 90.00°, γ = 118.90°
Positions (direct):
1 Au 0.0000 0.0000 0.0008
2 Au 0.0000 0.0000 0.4992
3 Rh 0.5000 0.5000 0.2500
4 Ru 0.5000 0.5000 0.7500

[4]
Sc2Cd3Ag: optimized geometry, PBE-GGA.

The total magnetization comes out at 0.0 μB per formula unit. The value obtained for the formation energy is -0.2238 eV per atom.

a = 5.7635 Å, b = 5.7635 Å, c = 8.9768 Å
α = 101.04°, β = 101.04°, γ = 113.78°
Positions (direct):
1 Sc 0.2500 0.7500 0.5000
2 Sc 0.7480 0.7480 0.0000
3 Sc 0.7500 0.2500 0.5000
4 Sc 0.2520 0.2520 0.0000
5 Cd 0.6643 0.1681 0.8324
6 Cd 0.8319 0.3357 0.1676
7 Cd 0.3357 0.8319 0.1676
8 Cd 0.1681 0.6643 0.8324
9 Cd 0.8321 0.8321 0.6642
10 Cd 0.1679 0.1679 0.3358
11 Ag 0.3329 0.3329 0.6658
12 Ag 0.6671 0.6671 0.3342

[5]
Y2Ge3Ir4Ru: optimized geometry, PBE-GGA.

The total magnetization comes out at 0.0 μB per formula unit. The value obtained for the formation energy is -0.6473 eV per atom.

a = 4.1677 Å, b = 4.1677 Å, c = 10.4159 Å
α = 90.00°, β = 90.00°, γ = 90.00°
Positions (direct):
1 Y 0.5000 0.0000 0.2434
2 Y 0.0000 0.5000 0.7566
3 Ge 0.0000 0.0000 0.5000
4 Ge 0.5000 0.0000 0.8672
5 Ge 0.0000 0.5000 0.1328
6 Ir 0.5000 0.5000 0.0000
7 Ir 0.0000 0.0000 0.0000
8 Ir 0.5000 0.0000 0.6350
9 Ir 0.0000 0.5000 0.3650
10 Ru 0.5000 0.5000 0.5000

[6]
MgNbZnIn: optimized geometry, PBE-GGA.

The total magnetization comes out at 0.0 μB per formula unit. The value obtained for the formation energy is -0.0432 eV per atom.

a = 4.1149 Å, b = 4.2436 Å, c = 4.2029 Å
α = 90.00°, β = 90.00°, γ = 90.00°
Positions (direct):
1 Mg 0.5000 0.0000 0.5000
2 Nb 0.5000 0.5000 0.0000
3 Zn 0.0000 0.0000 0.0000
4 In 0.0000 0.5000 0.5000

[7]
Sr2AlW: optimized geometry, PBE-GGA.

The total magnetization comes out at 0.6 μB per formula unit. The value obtained for the formation energy is 0.9479 eV per atom.

a = 6.0501 Å, b = 6.0501 Å, c = 3.1064 Å
α = 89.94°, β = 89.94°, γ = 116.40°
Positions (direct):
1 Sr 0.0000 0.0000 0.0000
2 Sr 0.5000 0.5000 0.0000
3 Al 0.0000 0.5000 0.5000
4 W 0.5000 0.0000 0.5000

[8]
Nd2Ho4Tl: optimized geometry, PBE-GGA.

The energy above the most stable polymorph in this dataset comes out at 0 meV/atom. The total magnetization comes out at 0.0 μB per formula unit. The value obtained for the formation energy is -0.0171 eV per atom.

a = 10.6734 Å, b = 6.5478 Å, c = 6.2898 Å
α = 89.98°, β = 90.00°, γ = 90.00°
Positions (direct):
1 Nd 0.9574 0.4996 0.2580
2 Nd 0.0426 0.5004 0.7420
3 Nd 0.4574 0.0004 0.7420
4 Nd 0.5426 0.9996 0.2580
5 Ho 0.7498 0.7502 0.9007
6 Ho 0.6549 0.4996 0.4299
7 Ho 0.8451 0.9996 0.4299
8 Ho 0.7502 0.2502 0.9007
9 Ho 0.2498 0.7498 0.0993
10 Ho 0.1549 0.0004 0.5701
11 Ho 0.3451 0.5004 0.5701
12 Ho 0.2502 0.2498 0.0993
13 Tl 0.0000 0.0000 0.0000
14 Tl 0.5000 0.5000 0.0000

Looking at VASP energy for the records above, in order, we have -18.53 -16.61 -21.49 -39.21 -77.97 -15.85 -16.27 -60.67 eV for the cell shown.